Entry 1:
Tb2GaNi3Ge4: optimized geometry, PBE.

Computed properties:
raw total energy	-5.451	eV/atom
density	8.448	g/cm3

Lattice parameters (Å, degrees): 4.0589 4.0589 10.1923 90.00 90.00 90.00
Last column: nearest neighbours and their distance in Å.
Space group P-4m2 (No. 115)
One atom of each set of equivalent atoms:
Tb 0.0000 0.5000 0.2413 (multiplicity 2)  8 Ge 3.08-3.19, 6 Ni 3.11-3.33, 2 Ga 3.33
Ga 0.0000 0.0000 0.5000 (multiplicity 1)  4 Ge 2.53
Ni 0.0000 0.5000 0.8754 (multiplicity 2)  5 Ge 2.32-2.39
Ni 0.5000 0.5000 0.5000 (multiplicity 1)  4 Ge 2.53
Ge 0.0000 0.0000 0.0000 (multiplicity 1)  4 Ni 2.39
Ge 0.0000 0.5000 0.6479 (multiplicity 2)  3 Ni 2.32-2.53, 2 Ga 2.53
Ge 0.5000 0.5000 0.0000 (multiplicity 1)  4 Ni 2.39

***

Entry 2:
TmZr2Tc: optimized geometry, PBE.

Computed properties:
raw total energy	-8.090	eV/atom
energy above the most stable polymorph in this dataset	0.0085	eV per atom
density	8.422	g/cm3

Lattice parameters (Å, degrees): 3.3469 3.3469 7.9102 90.00 90.00 90.00
Last column: nearest neighbours and their distance in Å.
Space group P4/mmm (No. 123)
One atom of each set of equivalent atoms:
Tm 0.0000 0.0000 0.0000 (multiplicity 1)  4 Tm 3.35, 8 Zr 3.36
Zr 0.5000 0.5000 0.3020 (multiplicity 2)  4 Tc 2.84, 1 Zr 3.13
Tc 0.0000 0.0000 0.5000 (multiplicity 1)  8 Zr 2.84

***

Entry 3:
ScCdPb2: optimized geometry, PBE.

Computed properties:
raw total energy	-3.827	eV/atom
density	9.189	g/cm3

Lattice parameters (Å, degrees): 11.6951 3.4362 5.4462 90.00 109.23 90.00
Last column: nearest neighbours and their distance in Å.
Space group Cm (No. 8)
One atom of each set of equivalent atoms:
Sc 0.0000 0.0000 0.0000 (multiplicity 2)  7 Pb 3.16-3.29, 2 Cd 3.24, 2 Sc 3.44
Cd 0.2269 0.5000 0.3671 (multiplicity 2)  7 Pb 3.16-3.33, 2 Sc 3.24, 2 Cd 3.44
Pb 0.2549 0.0000 0.8967 (multiplicity 2)  4 Cd 3.19-3.28, 3 Sc 3.21-3.23, 3 Pb 3.44-3.50
Pb 0.4837 0.0000 0.5022 (multiplicity 2)  4 Sc 3.16-3.29, 3 Cd 3.16-3.33, 3 Pb 3.44-3.50

***

Q: Look up the raw total energy of the third one.
A: -3.827 eV/atom

***

Q: What is the density in the first record?
A: 8.448 g/cm3